Entry from Alexandria via LeMat-Bulk: Sr2PrHg6 after structural relaxation (PBE-GGA).

abc: 8.8815 8.8815 3.6734
angles: 90.00 90.00 120.00
Space group P6/mmm (No. 191)
Unique sites:
Sr: 0.3333 0.6667 0.0000 (multiplicity 2)
Pr: 0.0000 0.0000 0.0000 (multiplicity 1)
Hg: 0.0000 0.3325 0.5000 (multiplicity 6)

formation energy from the elements: -0.453 eV per atom
E_tot: -1.559 eV/atom
DOS at the Fermi energy: 5.54 states/eV/f.u.